Computed, not measured: crystalline NaSmNiS3 at its relaxed geometry at the PBE level of DFT.

Cell lengths 7.868, 3.985, 15.400 Å; angles 90.00, 90.00, 90.00 degrees
Space group Pnma (No. 62)
One atom of each set of equivalent atoms:
Na 0.084 0.250 0.216 x4
Sm 0.248 0.250 0.953 x4
Ni 0.123 0.250 0.639 x4
S 0.006 0.750 0.595 x4
S 0.129 0.750 0.061 x4
S 0.180 0.250 0.778 x4


Computed, not measured: crystalline NaSmNiS3 at its relaxed geometry at the PBE level of DFT.

Cell lengths 7.891, 3.905, 9.302 Å; angles 90.00, 103.08, 90.00 degrees
Space group P2_1/m (No. 11)
One atom of each set of equivalent atoms:
Na 0.217 0.250 0.245 x2
Sm 0.311 0.750 0.859 x2
Ni 0.076 0.250 0.591 x2
S 0.060 0.250 0.834 x2
S 0.195 0.750 0.541 x2
S 0.441 0.750 0.161 x2


Computed, not measured: crystalline NaSmNiS3 at its relaxed geometry at the PBE level of DFT.

Cell lengths 10.845, 3.986, 11.347 Å; angles 90.00, 90.00, 90.00 degrees
Space group Pnma (No. 62)
One atom of each set of equivalent atoms:
Na 0.168 0.250 0.002 x4
Sm 0.014 0.250 0.677 x4
Ni 0.249 0.250 0.287 x4
S 0.053 0.750 0.847 x4
S 0.120 0.250 0.442 x4
S 0.223 0.750 0.202 x4


Computed, not measured: crystalline NaSmNiS3 at its relaxed geometry at the PBE level of DFT.

Cell lengths 16.080, 4.016, 7.949 Å; angles 90.00, 105.45, 90.00 degrees
Space group C2/m (No. 12)
One atom of each set of equivalent atoms:
Na 0.124 0.000 0.073 x4
Sm 0.172 0.000 0.613 x4
Ni 0.002 0.500 0.702 x4
S 0.000 0.000 0.500 x2
S 0.000 0.500 0.000 x2
S 0.150 0.500 0.828 x4
S 0.152 0.500 0.355 x4


| no. | density (g/cm³) | uncorrected energy (eV per atom) |
| --- | --- | --- |
| 1 | 4.516 | -5.143 |
| 2 | 3.904 | -5.213 |
| 3 | 4.445 | -5.209 |
| 4 | 4.407 | -5.096 |